Entry P
Material: Ca3MnPd
Method: DFT, GGA-PBE
State: relaxed

Lattice parameters (Å, degrees): 5.519 5.519 5.519 90.00 90.00 90.00
Last column: magnetic moment on the atom in μB.
Fractional positions:
1 Mn 0.500 0.500 0.500  4.28
2 Pd 0.000 0.000 0.000  0.01
3 Ca 0.500 0.000 0.000  -0.03
4 Ca 0.000 0.500 0.000  -0.02
5 Ca 0.000 0.000 0.500  -0.01

Calculated values
Space group: Pm-3m
Size of the total moment: 0.8834 μB per atom
Volume: 168 Å³/f.u.

***

Entry Q
Material: Ca3MnPd
Method: DFT, GGA-PBE
State: relaxed

Lattice parameters (Å, degrees): 5.295 5.295 5.295 90.00 90.00 90.00
Last column: magnetic moment on the atom in μB.
Fractional positions:
1 Mn 0.000 0.000 0.000  2.56
2 Ca 0.000 0.500 0.000  -0.03
3 Ca 0.000 0.000 0.500  -0.07
4 Ca 0.500 0.000 0.000  0.00
5 Pd 0.500 0.500 0.500  0.02

Calculated values
Space group: Pm-3m
Size of the total moment: 0.4470 μB per atom
Volume: 148 Å³/f.u.

***

It turns out entry P is the most stable, with the second structure 444 meV per atom higher.

***

Entry P
Material: Ca2MnPd
Method: DFT, GGA-PBE
State: relaxed

Lattice parameters (Å, degrees): 5.095 5.095 5.095 60.00 60.00 60.00
Last column: magnetic moment on the atom in μB.
Fractional positions:
1 Ca 0.750 0.750 0.750  -0.05
2 Ca 0.250 0.250 0.250  -0.05
3 Pd 0.500 0.500 0.500  0.09
4 Mn 0.000 0.000 0.000  3.80

Calculated values
Space group: Fm-3m
Size of the total moment: 0.9337 μB per atom
Volume: 94 Å³/f.u.

***

Entry Q
Material: Ca2MnPd
Method: DFT, GGA-PBE
State: relaxed

Lattice parameters (Å, degrees): 8.104 8.104 6.505 51.48 51.48 90.00
Last column: magnetic moment on the atom in μB.
Fractional positions:
1 Pd 0.000 0.000 0.000  0.02
2 Pd 0.750 0.250 0.500  0.02
3 Ca 0.662 0.125 0.250  -0.05
4 Ca 0.088 0.625 0.250  -0.04
5 Ca 0.375 0.338 0.750  -0.04
6 Ca 0.875 0.912 0.750  -0.04
7 Mn 0.250 0.750 0.500  4.00
8 Mn 0.500 0.500 0.000  4.00

Calculated values
Space group: I-42d
Size of the total moment: 1.0073 μB per atom
Volume: 101 Å³/f.u.

***

It turns out entry P is the most stable, with the second structure 208 meV per atom higher.

***

Entry P
Material: CaMn2Pt2
Method: DFT, GGA-PBE
State: relaxed

Lattice parameters (Å, degrees): 3.654 3.654 6.784 74.38 74.38 90.00
Fractional positions:
1 Ca 0.000 0.000 0.000
2 Mn 0.250 0.750 0.500
3 Mn 0.750 0.250 0.500
4 Pt 0.608 0.608 0.784
5 Pt 0.392 0.392 0.216

Calculated values
Space group: I4/mmm
Size of the total moment: 0.0000 μB per atom
Volume: 84 Å³/f.u.

***

Entry Q
Material: CaMn2Pt2
Method: DFT, GGA-PBE
State: relaxed

Lattice parameters (Å, degrees): 7.589 7.589 2.719 90.00 90.00 90.00
Fractional positions:
1 Mn 0.904 0.596 0.000
2 Mn 0.404 0.904 0.000
3 Mn 0.096 0.404 0.000
4 Mn 0.596 0.096 0.000
5 Pt 0.807 0.307 0.500
6 Pt 0.193 0.693 0.500
7 Pt 0.693 0.807 0.500
8 Pt 0.307 0.193 0.500
9 Ca 0.500 0.500 0.000
10 Ca 0.000 0.000 0.000

Calculated values
Space group: P4/mbm
Size of the total moment: 0.0003 μB per atom
Volume: 78 Å³/f.u.

***

It turns out entry Q is the most stable, with the second structure 155 meV per atom higher.

***

Entry P
Material: RbCaMn2
Method: DFT, GGA-PBE
State: relaxed

Lattice parameters (Å, degrees): 5.621 5.621 5.621 60.00 60.00 60.00
Last column: magnetic moment on the atom in μB.
Fractional positions:
1 Rb 0.500 0.500 0.500  -0.01
2 Ca 0.000 0.000 0.000  -0.09
3 Mn 0.250 0.250 0.250  4.03
4 Mn 0.750 0.750 0.750  4.03

Calculated values
Space group: Fm-3m
Size of the total moment: 2.0191 μB per atom
Volume: 126 Å³/f.u.

***

Entry Q
Material: RbCaMn2
Method: DFT, GGA-PBE
State: relaxed

Lattice parameters (Å, degrees): 8.808 8.808 6.983 50.90 50.90 90.00
Last column: magnetic moment on the atom in μB.
Fractional positions:
1 Ca 0.500 0.500 0.000  -0.10
2 Ca 0.250 0.750 0.500  -0.10
3 Mn 0.137 0.625 0.250  4.00
4 Mn 0.875 0.863 0.750  3.99
5 Mn 0.613 0.125 0.250  4.00
6 Mn 0.375 0.387 0.750  3.99
7 Rb 0.750 0.250 0.500  -0.03
8 Rb 0.000 0.000 0.000  -0.03

Calculated values
Space group: I-42d
Size of the total moment: 1.9870 μB per atom
Volume: 122 Å³/f.u.

***

It turns out entry P is the most stable, with the second structure 130 meV per atom higher.

***

Entry P
Material: Ca2MnRe
Method: DFT, GGA-PBE
State: relaxed

Lattice parameters (Å, degrees): 3.967 3.967 8.363 76.43 76.43 60.01
Last column: magnetic moment on the atom in μB.
Fractional positions:
1 Ca 0.787 0.787 0.643  0.00
2 Ca 0.964 0.964 0.104  0.00
3 Re 0.213 0.213 0.362  -0.02
4 Mn 0.536 0.536 0.391  0.09

Calculated values
Space group: Cm
Size of the total moment: 0.0205 μB per atom
Volume: 110 Å³/f.u.

***

Entry Q
Material: Ca2MnRe
Method: DFT, GGA-PBE
State: relaxed

Lattice parameters (Å, degrees): 10.489 10.489 10.489 16.99 16.99 16.99
Last column: magnetic moment on the atom in μB.
Fractional positions:
1 Mn 0.250 0.250 0.250  -3.83
2 Ca 0.496 0.496 0.496  0.04
3 Ca 0.004 0.004 0.004  0.04
4 Re 0.750 0.750 0.750  0.19

Calculated values
Space group: R-3m
Size of the total moment: 0.9239 μB per atom
Volume: 86 Å³/f.u.

***

Entry R
Material: Ca2MnRe
Method: DFT, GGA-PBE
State: relaxed

Lattice parameters (Å, degrees): 8.049 8.049 6.336 50.57 50.57 90.00
Last column: magnetic moment on the atom in μB.
Fractional positions:
1 Re 0.000 0.000 0.000  -0.26
2 Re 0.750 0.250 0.500  -0.26
3 Ca 0.626 0.125 0.250  -0.01
4 Ca 0.124 0.625 0.250  -0.01
5 Ca 0.875 0.876 0.750  -0.01
6 Ca 0.375 0.374 0.750  -0.01
7 Mn 0.500 0.500 0.000  3.74
8 Mn 0.250 0.750 0.500  3.74

Calculated values
Space group: I-42d
Size of the total moment: 0.8964 μB per atom
Volume: 90 Å³/f.u.

***

Entry S
Material: Ca2MnRe
Method: DFT, GGA-PBE
State: relaxed

Lattice parameters (Å, degrees): 4.896 4.896 4.896 120.05 120.05 89.92
Last column: magnetic moment on the atom in μB.
Fractional positions:
1 Re 0.750 0.250 0.500  -0.24
2 Ca 0.000 0.000 0.000  0.01
3 Ca 0.250 0.750 0.500  0.04
4 Mn 0.500 0.500 0.000  3.65

Calculated values
Space group: F-43m
Size of the total moment: 0.9477 μB per atom
Volume: 83 Å³/f.u.

***

It turns out entry P is the most stable, with the second structure 511 meV per atom higher.

***

Entry P
Material: Ca2MnRe
Method: DFT, GGA-PBE
State: relaxed

Lattice parameters (Å, degrees): 3.166 3.167 9.512 70.49 90.00 90.00
Last column: magnetic moment on the atom in μB.
Fractional positions:
1 Re 0.500 0.819 0.681  -0.21
2 Ca 0.000 0.066 0.932  0.03
3 Ca 0.500 0.180 0.321  -0.02
4 Mn 0.000 0.435 0.566  0.98

Calculated values
Space group: Pm
Size of the total moment: 0.2158 μB per atom
Volume: 90 Å³/f.u.

***

Entry Q
Material: Ca2MnRe
Method: DFT, GGA-PBE
State: relaxed

Lattice parameters (Å, degrees): 4.899 4.899 4.899 60.00 60.00 60.00
Last column: magnetic moment on the atom in μB.
Fractional positions:
1 Ca 0.250 0.250 0.250  0.02
2 Ca 0.750 0.750 0.750  0.02
3 Re 0.500 0.500 0.500  1.22
4 Mn 0.000 0.000 0.000  -0.22

Calculated values
Space group: Fm-3m
Size of the total moment: 0.3080 μB per atom
Volume: 83 Å³/f.u.

***

Entry R
Material: Ca2MnRe
Method: DFT, GGA-PBE
State: relaxed

Lattice parameters (Å, degrees): 4.256 4.277 4.625 90.00 90.00 90.00
Last column: magnetic moment on the atom in μB.
Fractional positions:
1 Re 0.000 0.500 0.500  -0.12
2 Ca 0.000 0.000 0.000  -0.02
3 Ca 0.500 0.500 0.000  -0.02
4 Mn 0.500 0.000 0.500  3.68

Calculated values
Space group: Pmmm
Size of the total moment: 0.9415 μB per atom
Volume: 84 Å³/f.u.

***

It turns out entry P is the most stable, with the second structure 491 meV per atom higher.